# PrGdCdSn

Crystalline PrGdCdSn at its relaxed geometry (PBE-GGA, Alexandria via LeMat-Bulk).

Summary:
ΔH_f (0 K): -50.7 kJ per mole of atoms

Cell: 7.661 7.661 7.661 Å, 90.00 90.00 90.00°
Space group F-43m (No. 216)
Inequivalent atoms, fractional coordinates:
Pr (0.000, 0.000, 0.000)
Gd (0.000, 0.000, 0.500)
Cd (0.250, 0.250, 0.250)
Sn (0.250, 0.250, 0.750)